No. 1
# NaCeAgPb (PBE-GGA, optimized geometry)
# **Energy relative to the elements**: -0.180 eV/atom
# **Magnetization**: 3.3 μB per cell
data_NaCeAgPb
_cell_length_a 7.5208
_cell_length_b 7.5208
_cell_length_c 7.5208
_cell_angle_alpha 90.00
_cell_angle_beta 90.00
_cell_angle_gamma 90.00
_symmetry_space_group_name_H-M 'F -4 3 m'
_symmetry_Int_Tables_number 216
_symmetry_space_group_name_Hall 'F -4 2 3'
loop_
_atom_site_label
_atom_site_type_symbol
_atom_site_fract_x
_atom_site_fract_y
_atom_site_fract_z
Na1 Na 0.0000 0.0000 0.0000
Ce1 Ce 0.0000 0.0000 0.5000
Ag1 Ag 0.2500 0.2500 0.7500
Pb1 Pb 0.2500 0.2500 0.2500

No. 2
# Tm5Ga2Au2 (PBE-GGA, optimized geometry)
# **Energy relative to the elements**: -0.676 eV/atom
# **Magnetization**: 0.0 μB per cell
data_Tm5Ga2Au2
_cell_length_a 15.5004
_cell_length_b 7.4973
_cell_length_c 7.4549
_cell_angle_alpha 90.00
_cell_angle_beta 90.00
_cell_angle_gamma 90.00
_symmetry_space_group_name_H-M 'C m c e'
_symmetry_Int_Tables_number 64
_symmetry_space_group_name_Hall '-C 2ac 2'
loop_
_atom_site_label
_atom_site_type_symbol
_atom_site_fract_x
_atom_site_fract_y
_atom_site_fract_z
Tm1 Tm 0.0000 0.0000 0.0000
Tm2 Tm 0.1384 0.1789 0.3287
Ga1 Ga 0.0000 0.1212 0.6208
Au1 Au 0.2083 0.0000 0.0000

no.,E (hartree per atom)
1,-0.1335
2,-0.1676